# SbTeH (PBE-GGA, optimized geometry)
# - Offset from the most stable computed form: 0.0 kJ/mol of formula units
# - Symmetry: P1, No. 1
# - Crystal system: triclinic
data_SbTeH
_symmetry_space_group_name_H-M 'P 1'
_symmetry_Int_Tables_number 1
_symmetry_space_group_name_Hall 'P 1'
_cell_length_a 4.248
_cell_length_b 4.463
_cell_length_c 5.097
_cell_angle_alpha 86.58
_cell_angle_beta 68.15
_cell_angle_gamma 89.96
loop_
_atom_site_label
_atom_site_fract_x
_atom_site_fract_y
_atom_site_fract_z
Sb1 0.000 0.000 0.000
Te1 0.458 0.565 0.094
H1 0.164 0.993 0.632